[1]
# PBE Ca2ReSe, optimized geometry
# Uncorrected energy ... -4.931 eV/atom
data_Ca2ReSe
_cell_length_a 3.3294
_cell_length_b 3.3294
_cell_length_c 8.6564
_cell_angle_alpha 90.00
_cell_angle_beta 90.00
_cell_angle_gamma 90.00
_space_group_name_H-M_alt 'P 4 m m'
_space_group_IT_number 99
_space_group_name_Hall 'P 4 -2'
loop_
_atom_site_label
_atom_site_type_symbol
_atom_site_fract_x
_atom_site_fract_y
_atom_site_fract_z
_atom_site_occupancy
Ca1 Ca 0.0000 0.0000 0.0000 1
Ca2 Ca 0.5000 0.5000 0.3762 1
Re1 Re 0.0000 0.0000 0.6280 1
Se1 Se 0.5000 0.5000 0.7540 1

=====

[2]
# PBE ZrNiAs, optimized geometry
# DFT formation energy ... -0.41 eV/atom
data_ZrNiAs
_cell_length_a 3.1935
_cell_length_b 3.1935
_cell_length_c 9.6287
_cell_angle_alpha 90.00
_cell_angle_beta 90.00
_cell_angle_gamma 90.00
_space_group_name_H-M_alt 'I 4 m m'
_space_group_IT_number 107
_space_group_name_Hall 'I 4 -2'
loop_
_atom_site_label
_atom_site_type_symbol
_atom_site_fract_x
_atom_site_fract_y
_atom_site_fract_z
_atom_site_occupancy
Zr1 Zr 0.0000 0.0000 0.0000 1
Ni1 Ni 0.0000 0.0000 0.6766 1
As1 As 0.0000 0.0000 0.2976 1

=====

[3]
# PBE YHfGa2, optimized geometry
# DFT formation energy ... 0.16 eV/atom
# Energy above the most stable polymorph in this dataset ... 0.586 eV per atom
data_YHfGa2
_cell_length_a 4.6513
_cell_length_b 4.6513
_cell_length_c 18.7666
_cell_angle_alpha 90.00
_cell_angle_beta 90.00
_cell_angle_gamma 90.00
_space_group_name_H-M_alt 'I -4 2 d'
_space_group_IT_number 122
_space_group_name_Hall 'I -4 2bw'
loop_
_atom_site_label
_atom_site_type_symbol
_atom_site_fract_x
_atom_site_fract_y
_atom_site_fract_z
_atom_site_occupancy
Y1 Y 0.0000 0.0000 0.0000 1
Hf1 Hf 0.0000 0.0000 0.5000 1
Ga1 Ga 0.1662 0.2500 0.6250 1